Compound: La2PrSmHg2
Source: the Alexandria database
Functional: PBE
Structure: optimized geometry

The value obtained for the total magnetization is 0.000 μB/f.u. As for the formation energy: -0.3341 eV/atom.

The space group is Pmc2_1 (No. 26) and the conventional cell measures 5.286, 9.778 and 7.307 Å, with angles of 90.00, 90.00 and 90.00 degrees. The asymmetric unit holds La at (0.000, 0.058, 0.000), La at (0.500, 0.171, 0.314), Pr at (0.500, 0.443, 0.975), Sm at (0.000, 0.327, 0.658), Hg at (0.000, 0.359, 0.228) and Hg at (0.500, 0.156, 0.751).

Compound: YGa2Ag4
Source: the Alexandria database
Functional: PBE
Structure: optimized geometry

The value obtained for the total magnetization is 0.000 μB/f.u. As for the formation energy: -0.2226 eV/atom. The energy relative to the lowest polymorph listed for this composition comes out at 18 meV per atom.

The space group is P4_2/mnm (No. 136) and the conventional cell measures 7.992, 7.992 and 4.247 Å, with angles of 90.00, 90.00 and 90.00 degrees. The asymmetric unit holds Y at (0.000, 0.000, 0.000), Ga at (0.204, 0.204, 0.500) and Ag at (0.095, 0.656, 0.500).

Compound: TlSiRu2
Source: the Alexandria database
Functional: PBE
Structure: optimized geometry

The value obtained for the total magnetization is 0.000 μB/f.u. As for the uncorrected formation energy: -0.026 eV/atom. The energy relative to the lowest polymorph listed for this composition comes out at 0 meV per atom.

The space group is P4/mmm (No. 123) and the conventional cell measures 2.991, 2.991 and 6.906 Å, with angles of 90.00, 90.00 and 90.00 degrees. The asymmetric unit holds Tl at (0.000, 0.000, 0.000), Si at (0.000, 0.000, 0.500) and Ru at (0.500, 0.500, 0.300).